Compound: La6InRu2Br3
Source: Alexandria
Functional: PBE
Structure: relaxed

Values from the calculation:
- Electronic total energy: -133.62 eV for the cell shown
- Energy relative to the elements, uncorrected: -10.94 eV/f.u.

Cell: 20.4818 4.1580 9.4847 Å, 90.00 107.16 90.00°
Space group C2/m (No. 12)
One atom of each set of equivalent atoms:
La: 0.0338 0.0000 0.2723 [4 per cell]
La: 0.1665 0.5000 0.1364 [4 per cell]
La: 0.1840 0.5000 0.5702 [4 per cell]
In: 0.0000 0.5000 0.0000 [2 per cell]
Ru: 0.1687 0.0000 0.3456 [4 per cell]
Br: 0.0000 0.5000 0.5000 [2 per cell]
Br: 0.1703 0.0000 0.8435 [4 per cell]

=====

Compound: LiZnRh2
Source: Alexandria
Functional: PBE
Structure: relaxed

Values from the calculation:
- ΔE_f: -21 kJ per mole of atoms
- Electronic total energy: -37.50 eV for the cell shown

Cell: 2.8595 4.5482 8.4986 Å, 90.00 90.00 90.00°
Space group Immm (No. 71)
One atom of each set of equivalent atoms:
Li: 0.0000 0.0000 0.0000 [2 per cell]
Zn: 0.0000 0.0000 0.5000 [2 per cell]
Rh: 0.0000 0.5000 0.2462 [4 per cell]

=====

Compound: CdTe2Rh
Source: Alexandria
Functional: PBE
Structure: relaxed

Values from the calculation:
- Electronic total energy: -27.53 eV for the cell shown
- Energy relative to the elements, uncorrected: 0.78 eV/f.u.

Cell: 6.1801 7.6823 3.7847 Å, 90.00 90.00 90.00°
Space group Cmmm (No. 65)
One atom of each set of equivalent atoms:
Cd: 0.0000 0.0000 0.0000 [2 per cell]
Te: 0.2500 0.2500 0.5000 [4 per cell]
Rh: 0.0000 0.5000 0.0000 [2 per cell]

=====

Compound: SrMgSe2O6
Source: Alexandria
Functional: PBE
Structure: relaxed

Values from the calculation:
- Electronic total energy: -168.19 eV for the cell shown
- Energy relative to the elements, uncorrected: -16.07 eV/f.u.

Cell: 5.4440 5.4440 17.2357 Å, 90.00 90.00 120.00°
Space group R-3 (No. 148, hexagonal axes)
One atom of each set of equivalent atoms:
Sr: 0.0000 0.0000 0.0000 [3 per cell]
Mg: 0.0000 0.0000 0.5000 [3 per cell]
Se: 0.0000 0.0000 0.2745 [6 per cell]
O: 0.0213 0.3868 0.9043 [18 per cell]